Entry 1:
First-principles (PBE) data for an optimized crystal structure of AlRu2Rh, as listed in Alexandria.

space group	Pmm2
E_tot	-7.69	eV per atom
calculated density	9.79	Mg/m³

a = 2.782 Å, b = 3.705 Å, c = 5.466 Å
α = 90.00°, β = 90.00°, γ = 90.00°
Atoms (fractional coordinates):
Al 0.000 0.000 0.000
Ru 0.000 0.000 0.508
Ru 0.500 0.500 0.725
Rh 0.500 0.500 0.221


Entry 2:
First-principles (PBE) data for an optimized crystal structure of K2UZnF8, as listed in Alexandria.

space group	P-1
formation energy from raw total energies	-3.0270	eV per atom
E_tot	-5.50	eV per atom
calculated density	4.11	Mg/m³

a = 5.064 Å, b = 6.405 Å, c = 7.003 Å
α = 103.32°, β = 102.16°, γ = 90.71°
Atoms (fractional coordinates):
K 0.213 0.178 0.416
K 0.787 0.822 0.584
U 0.000 0.500 0.000
Zn 0.500 0.000 0.000
F 0.030 0.456 0.695
F 0.190 0.833 0.079
F 0.312 0.971 0.719
F 0.364 0.327 0.097
F 0.636 0.673 0.903
F 0.688 0.029 0.281
F 0.810 0.167 0.921
F 0.970 0.544 0.305